A plane-wave DFT calculation with GGA-PBE was carried out for a geometry-optimized Ni2Pt2Rh7 structure.

abc: 4.7152 4.7456 7.2963
angles: 99.51 92.11 97.83
Positions (direct):
Ni 0.0362 0.2599 0.0059
Ni 0.9638 0.7401 0.9941
Pt 0.3724 0.2199 0.4470
Pt 0.6276 0.7801 0.5530
Rh 0.0908 0.6448 0.3504
Rh 0.1502 0.9141 0.7108
Rh 0.4478 0.4611 0.8212
Rh 0.5000 0.0000 0.0000
Rh 0.5522 0.5389 0.1788
Rh 0.8498 0.0859 0.2892
Rh 0.9092 0.3552 0.6496

=====

A plane-wave DFT calculation with GGA-PBE was carried out for a geometry-optimized PrNdGa2 structure.

abc: 3.7121 3.7121 7.4233
angles: 90.00 90.00 90.00
Positions (direct):
Pr 0.0000 0.0000 0.0000
Nd 0.0000 0.0000 0.5000
Ga 0.5000 0.5000 0.2534
Ga 0.5000 0.5000 0.7466

=====

Asked for VASP energy across the records above, the calculation gives -6.667 -4.453 eV/atom in order.